# 1
DFT (PBE) results for an optimized crystal structure of AgAs2BrO.

POSCAR file:
```
AgAs2BrO
1.0
-1.118 -1.051 4.797
2.470 -4.372 -0.383
4.436 2.370 1.553
As Ag Br O
2 1 1 1
Direct
0.000 0.500 0.000
0.500 0.000 0.000
0.000 0.000 0.000
0.000 0.000 0.500
0.500 0.500 0.500
```

Results
calculated density = 4.4 g/cm3
formation energy from raw total energies = 1.178 eV/atom

# 2
DFT (PBE) results for an optimized crystal structure of PmCdNiAu.

POSCAR file:
```
PmCdNiAu
1.0
-3.847 -2.852 0.913
-0.899 -3.863 -2.835
0.664 -4.506 1.738
Cd Ni Pm Au
1 1 1 1
Direct
0.750 0.750 0.750
0.000 0.000 0.000
0.250 0.250 0.250
0.500 0.500 0.500
```

Results
calculated density = 10.4 g/cm3
E_form = -139 kJ/mol of formula units

# 3
DFT (PBE) results for an optimized crystal structure of InNi2WN.

POSCAR file:
```
InNi2WN
1.0
4.503 0.000 0.000
0.000 5.477 0.000
0.000 0.000 4.503
Ni In N W
2 1 1 1
Direct
0.500 0.000 0.000
0.000 0.000 0.500
0.000 0.500 0.000
0.500 0.500 0.500
0.000 0.000 0.000
```

Results
calculated density = 6.4 g/cm3
formation energy from raw total energies = 2.222 eV/atom

> What is the calculated density in the second record?

10.4 g/cm3

> The highest calculated density belongs to which entry?

PmCdNiAu